Record 1
First-principles (GGA-PBE) data for MgZrBeAg after structural relaxation, as listed in Alexandria via LeMat-Bulk.

Calculated formation energy: 0.02 eV per atom
Volume: 69.7 Å³/f.u.
Crystal system: cubic

Geometry as CIF:
```
data_MgZrBeAg
_space_group_name_H-M_alt 'F -4 3 m'
_space_group_IT_number 216
_space_group_name_Hall 'F -4 2 3'
_cell_length_a 6.5342
_cell_length_b 6.5342
_cell_length_c 6.5342
_cell_angle_alpha 90.00
_cell_angle_beta 90.00
_cell_angle_gamma 90.00
loop_
_atom_site_label
_atom_site_type_symbol
_atom_site_fract_x
_atom_site_fract_y
_atom_site_fract_z
_atom_site_occupancy
Mg1 Mg 0.0000 0.0000 0.0000 1
Zr1 Zr 0.0000 0.0000 0.5000 1
Be1 Be 0.2500 0.2500 0.7500 1
Ag1 Ag 0.2500 0.2500 0.2500 1
```

=====

Record 2
First-principles (GGA-PBE) data for Mn2BeAg after structural relaxation, as listed in Alexandria via LeMat-Bulk.

Calculated formation energy: 0.28 eV per atom
Volume: 51.8 Å³/f.u.
Crystal system: monoclinic

Geometry as CIF:
```
data_Mn2BeAg
_space_group_name_H-M_alt 'C 1 m 1'
_space_group_IT_number 8
_cell_length_a 8.3593
_cell_length_b 2.7268
_cell_length_c 4.6523
_cell_angle_alpha 90.00
_cell_angle_beta 102.44
_cell_angle_gamma 90.00
loop_
_space_group_symop_operation_xyz
'x,y,z'
'x,-y,z'
'x+1/2,y+1/2,z'
'x+1/2,-y+1/2,z'
loop_
_atom_site_label
_atom_site_type_symbol
_atom_site_fract_x
_atom_site_fract_y
_atom_site_fract_z
_atom_site_occupancy
Mn1 Mn 0.0000 0.0000 0.0000 1
Mn2 Mn 0.2488 0.5000 0.1683 1
Be1 Be 0.4834 0.0000 0.4429 1
Ag1 Ag 0.2318 0.0000 0.6570 1
```

=====

Record 3
First-principles (GGA-PBE) data for Mn2BeAg after structural relaxation, as listed in Alexandria via LeMat-Bulk.

Calculated formation energy: 0.28 eV per atom
Volume: 53.0 Å³/f.u.
Crystal system: cubic

Geometry as CIF:
```
data_Mn2BeAg
_space_group_name_H-M_alt 'F -4 3 m'
_space_group_IT_number 216
_space_group_name_Hall 'F -4 2 3'
_cell_length_a 5.9610
_cell_length_b 5.9610
_cell_length_c 5.9610
_cell_angle_alpha 90.00
_cell_angle_beta 90.00
_cell_angle_gamma 90.00
loop_
_atom_site_label
_atom_site_type_symbol
_atom_site_fract_x
_atom_site_fract_y
_atom_site_fract_z
_atom_site_occupancy
Mn1 Mn 0.0000 0.0000 0.0000 1
Mn2 Mn 0.2500 0.2500 0.2500 1
Be1 Be 0.0000 0.0000 0.5000 1
Ag1 Ag 0.2500 0.2500 0.7500 1
```